# MoPt2F (PBE+U, relaxed)
data_MoPt2F
_cell_length_a 6.286
_cell_length_b 6.286
_cell_length_c 6.286
_cell_angle_alpha 90.00
_cell_angle_beta 90.00
_cell_angle_gamma 90.00
_space_group_name_H-M_alt 'F m -3 m'
_space_group_IT_number 225
_space_group_name_Hall '-F 4 2 3'
loop_
_atom_site_label
_atom_site_fract_x
_atom_site_fract_y
_atom_site_fract_z
Mo1 0.000 0.000 0.000
Pt1 0.250 0.250 0.250
F1 0.000 0.000 0.500
# DOS at the Fermi energy	9.87	states/eV per cell
# energy relative to the lowest polymorph listed for this composition	14	meV/atom